1.
The following is a PBE calculation of a relaxed structure of BaZn2Pb, from Alexandria.

- Total energy: -18.2 eV per cell
- DFT formation energy: -0.230 eV per atom
- Total magnetic moment: 0.000 μB/cell

Geometry as CIF:
```
data_BaZn2Pb
_chemical_formula_sum 'Ba2 Zn4 Pb2'
_cell_length_a 7.817
_cell_length_b 4.525
_cell_length_c 7.023
_cell_angle_alpha 90.00
_cell_angle_beta 111.82
_cell_angle_gamma 90.00
_space_group_name_H-M_alt 'C 1 m 1'
_space_group_IT_number 8
_space_group_name_Hall 'C -2y'
loop_
_atom_site_label
_atom_site_type_symbol
_atom_site_fract_x
_atom_site_fract_y
_atom_site_fract_z
Ba1 Ba 0.000 0.000 0.000
Zn1 Zn 0.289 0.500 0.365
Zn2 Zn 0.458 0.000 0.374
Pb1 Pb 0.204 0.000 0.611
```

***

2.
The following is a PBE calculation of a relaxed structure of AlSiPN4, from Alexandria.

- Total energy: -103.5 eV per cell
- Energy relative to the elements, uncorrected: -0.55 eV per atom
- ΔE to the lowest computed polymorph: 0.228 eV/atom
- Total magnetic moment: 0.000 μB/cell

Geometry as CIF:
```
data_AlSiPN4
_chemical_formula_sum 'Al2 Si2 P2 N8'
_cell_length_a 9.653
_cell_length_b 2.750
_cell_length_c 4.713
_cell_angle_alpha 90.00
_cell_angle_beta 103.51
_cell_angle_gamma 90.00
_space_group_name_H-M_alt 'C 1 m 1'
_space_group_IT_number 8
_space_group_name_Hall 'C -2y'
loop_
_atom_site_label
_atom_site_type_symbol
_atom_site_fract_x
_atom_site_fract_y
_atom_site_fract_z
Al1 Al 0.000 0.000 0.000
Si1 Si 0.236 0.000 0.750
P1 P 0.259 0.500 0.275
N1 N 0.135 0.500 0.904
N2 N 0.150 0.000 0.361
N3 N 0.347 0.500 0.650
N4 N 0.359 0.000 0.132
```

***

3.
The following is a PBE calculation of a relaxed structure of PmSm6Ho3, from Alexandria.

- Total energy: -182.1 eV per cell
- DFT formation energy: 0.127 eV per atom
- Total magnetic moment: 0.000 μB/cell

Geometry as CIF:
```
data_PmSm6Ho3
_chemical_formula_sum 'Pm4 Sm24 Ho12'
_cell_length_a 9.754
_cell_length_b 21.272
_cell_length_c 6.440
_cell_angle_alpha 90.00
_cell_angle_beta 90.00
_cell_angle_gamma 90.00
_space_group_name_H-M_alt 'C m c 21'
_space_group_IT_number 36
_space_group_name_Hall 'C 2c -2'
loop_
_atom_site_label
_atom_site_type_symbol
_atom_site_fract_x
_atom_site_fract_y
_atom_site_fract_z
Pm1 Pm 0.000 0.159 0.000
Sm1 Sm 0.000 0.015 0.797
Sm2 Sm 0.000 0.301 0.788
Sm3 Sm 0.175 0.281 0.319
Sm4 Sm 0.179 0.441 0.566
Ho1 Ho 0.000 0.419 0.087
Ho2 Ho 0.169 0.127 0.477
```

***

4.
The following is a PBE calculation of a relaxed structure of NbGa3Si, from Alexandria.

- Total energy: -20.2 eV per cell
- Energy relative to the elements, uncorrected: 0.88 eV per atom
- ΔE to the lowest computed polymorph: 0.036 eV/atom
- Total magnetic moment: 2.453 μB/cell

Geometry as CIF:
```
data_NbGa3Si
_chemical_formula_sum 'Nb1 Ga3 Si1'
_cell_length_a 4.713
_cell_length_b 4.713
_cell_length_c 4.713
_cell_angle_alpha 90.00
_cell_angle_beta 90.00
_cell_angle_gamma 90.00
_space_group_name_H-M_alt 'P m -3 m'
_space_group_IT_number 221
_space_group_name_Hall '-P 4 2 3'
loop_
_atom_site_label
_atom_site_type_symbol
_atom_site_fract_x
_atom_site_fract_y
_atom_site_fract_z
Nb1 Nb 0.000 0.000 0.000
Ga1 Ga 0.000 0.500 0.500
Si1 Si 0.500 0.500 0.500
```

***

5.
The following is a PBE calculation of a relaxed structure of Tb2NdTh6, from Alexandria.

- Total energy: -57.7 eV per cell
- DFT formation energy: 0.089 eV per atom
- Total magnetic moment: 0.000 μB/cell

Geometry as CIF:
```
data_Tb2NdTh6
_chemical_formula_sum 'Tb2 Nd1 Th6'
_cell_length_a 3.5471
_cell_length_b 3.5471
_cell_length_c 27.1108
_cell_angle_alpha 90.00
_cell_angle_beta 90.00
_cell_angle_gamma 120.00
_space_group_name_H-M_alt 'P -6 m 2'
_space_group_IT_number 187
_space_group_name_Hall 'P -6 2'
loop_
_atom_site_label
_atom_site_type_symbol
_atom_site_fract_x
_atom_site_fract_y
_atom_site_fract_z
Tb1 Tb 0.0000 0.0000 0.1696
Nd1 Nd 0.3333 0.6667 0.5000
Th1 Th 0.0000 0.0000 0.3869
Th2 Th 0.3333 0.6667 0.0612
Th3 Th 0.3333 0.6667 0.2791
```

***

6.
The following is a PBE calculation of a relaxed structure of CaPmTlAg, from Alexandria.

- Total energy: -53.8 eV per cell
- DFT formation energy: -0.369 eV per atom
- Total magnetic moment: 0.000 μB/cell

Geometry as CIF:
```
data_CaPmTlAg
_chemical_formula_sum 'Ca4 Pm4 Tl4 Ag4'
_cell_length_a 7.590
_cell_length_b 7.590
_cell_length_c 7.590
_cell_angle_alpha 90.00
_cell_angle_beta 90.00
_cell_angle_gamma 90.00
_space_group_name_H-M_alt 'F -4 3 m'
_space_group_IT_number 216
_space_group_name_Hall 'F -4 2 3'
loop_
_atom_site_label
_atom_site_type_symbol
_atom_site_fract_x
_atom_site_fract_y
_atom_site_fract_z
Ca1 Ca 0.000 0.000 0.000
Pm1 Pm 0.000 0.000 0.500
Tl1 Tl 0.250 0.250 0.750
Ag1 Ag 0.250 0.250 0.250
```

***

7.
The following is a PBE calculation of a relaxed structure of CrPb2CN, from Alexandria.

- Total energy: -26.9 eV per cell
- Energy relative to the elements, uncorrected: 1.55 eV per atom
- Total magnetic moment: 0.000 μB/cell

Geometry as CIF:
```
data_CrPb2CN
_chemical_formula_sum 'Cr1 Pb2 C1 N1'
_cell_length_a 5.264
_cell_length_b 5.264
_cell_length_c 3.028
_cell_angle_alpha 90.00
_cell_angle_beta 90.00
_cell_angle_gamma 90.00
_space_group_name_H-M_alt 'P 4/m m m'
_space_group_IT_number 123
_space_group_name_Hall '-P 4 2'
loop_
_atom_site_label
_atom_site_type_symbol
_atom_site_fract_x
_atom_site_fract_y
_atom_site_fract_z
Cr1 Cr 0.000 0.000 0.000
Pb1 Pb 0.000 0.500 0.500
C1 C 0.500 0.500 0.000
N1 N 0.500 0.500 0.500
```

***

8.
The following is a PBE calculation of a relaxed structure of Cs3NdAg2I8, from Alexandria.

- Total energy: -40.9 eV per cell
- Energy relative to the elements, uncorrected: -1.10 eV per atom
- Total magnetic moment: 0.000 μB/cell

Geometry as CIF:
```
data_Cs3NdAg2I8
_chemical_formula_sum 'Cs3 Nd1 Ag2 I8'
_cell_length_a 8.6639
_cell_length_b 8.6639
_cell_length_c 11.0821
_cell_angle_alpha 90.00
_cell_angle_beta 90.00
_cell_angle_gamma 120.00
_space_group_name_H-M_alt 'P -3 m 1'
_space_group_IT_number 164
_space_group_name_Hall '-P 3 2"'
loop_
_atom_site_label
_atom_site_type_symbol
_atom_site_fract_x
_atom_site_fract_y
_atom_site_fract_z
Cs1 Cs 0.0000 0.0000 0.0000
Cs2 Cs 0.3333 0.6667 0.6214
Nd1 Nd 0.0000 0.0000 0.5000
Ag1 Ag 0.3333 0.6667 0.1945
I1 I 0.1653 0.3306 0.3303
I2 I 0.3333 0.6667 0.9521
```

***

9.
The following is a PBE calculation of a relaxed structure of Li5SnHg, from Alexandria.

- Total energy: -63.5 eV per cell
- DFT formation energy: -0.286 eV per atom
- ΔE to the lowest computed polymorph: 0.000 eV/atom
- Total magnetic moment: 0.000 μB/cell

Geometry as CIF:
```
data_Li5SnHg
_chemical_formula_sum 'Li20 Sn4 Hg4'
_cell_length_a 6.940
_cell_length_b 7.860
_cell_length_c 10.088
_cell_angle_alpha 90.00
_cell_angle_beta 109.79
_cell_angle_gamma 90.00
_space_group_name_H-M_alt 'C 1 2/c 1'
_space_group_IT_number 15
_space_group_name_Hall '-C 2yc'
loop_
_atom_site_label
_atom_site_type_symbol
_atom_site_fract_x
_atom_site_fract_y
_atom_site_fract_z
Li1 Li 0.000 0.129 0.250
Li2 Li 0.117 0.351 0.533
Li3 Li 0.207 0.201 0.846
Sn1 Sn 0.000 0.000 0.000
Hg1 Hg 0.000 0.486 0.250
```

***

10.
The following is a PBE calculation of a relaxed structure of NdDyMg, from Alexandria.

- Total energy: -10.9 eV per cell
- DFT formation energy: 0.038 eV per atom
- ΔE to the lowest computed polymorph: 0.087 eV/atom
- Total magnetic moment: 0.000 μB/cell

Geometry as CIF:
```
data_NdDyMg
_chemical_formula_sum 'Nd1 Dy1 Mg1'
_cell_length_a 5.5035
_cell_length_b 5.5035
_cell_length_c 3.4385
_cell_angle_alpha 90.00
_cell_angle_beta 90.00
_cell_angle_gamma 120.00
_space_group_name_H-M_alt 'P 3 m 1'
_space_group_IT_number 156
_space_group_name_Hall 'P 3 -2"'
loop_
_atom_site_label
_atom_site_type_symbol
_atom_site_fract_x
_atom_site_fract_y
_atom_site_fract_z
Nd1 Nd 0.0000 0.0000 0.0000
Dy1 Dy 0.6667 0.3333 0.5674
Mg1 Mg 0.3333 0.6667 0.3044
```

***

11.
The following is a PBE calculation of a relaxed structure of Ni23As6, from Alexandria.

- Total energy: -322.5 eV per cell
- DFT formation energy: -0.013 eV per atom
- Total magnetic moment: 0.000 μB/cell

Geometry as CIF:
```
data_Ni23As6
_chemical_formula_sum 'Ni46 As12'
_cell_length_a 7.252
_cell_length_b 7.252
_cell_length_c 13.387
_cell_angle_alpha 90.00
_cell_angle_beta 90.00
_cell_angle_gamma 90.00
_space_group_name_H-M_alt 'I 4/m m m'
_space_group_IT_number 139
_space_group_name_Hall '-I 4 2'
loop_
_atom_site_label
_atom_site_type_symbol
_atom_site_fract_x
_atom_site_fract_y
_atom_site_fract_z
Ni1 Ni 0.000 0.000 0.000
Ni2 Ni 0.000 0.251 0.376
Ni3 Ni 0.000 0.254 0.129
Ni4 Ni 0.000 0.500 0.000
Ni5 Ni 0.250 0.250 0.250
As1 As 0.000 0.000 0.253
As2 As 0.249 0.249 0.500
```